Crystalline Rb2PbSe2 at its relaxed geometry, computed with PBE.

```
10
Lattice="8.4913 0.0000 0.0000 0.0000 8.4913 0.0000 0.0000 0.0000 4.9442" Properties=species:S:1:pos:R:3 pbc="T T T"
Rb 1.1541 3.0915 0.0000
Rb 3.0915 7.3372 0.0000
Rb 5.3997 1.1541 0.0000
Rb 7.3372 5.3997 0.0000
Pb 0.0000 0.0000 2.4721
Pb 4.2456 4.2456 2.4721
Se 1.5146 5.7602 2.4721
Se 2.7311 1.5146 2.4721
Se 5.7602 6.9767 2.4721
Se 6.9767 2.7311 2.4721
```

Values from the calculation:
Its mass density is 5.0 g cm⁻³. The distance to the lowest polymorph of the same formula comes out at 20.2 kJ/mol of atoms. The space-group type is P4/mbm, No. 127. The calculation puts the formation energy from raw total energies at -682 meV per atom. For the total energy, the calculation gives -32.04 eV/cell. The volume is 356.5 Å³/cell.